(1)
The following is a DFT calculation (meta-GGA SCAN) of a crystal of BeCd relaxed with PBEsol.

## Properties
For the energy relative to the elements, the calculation gives 0.4269 eV per atom. The density of states at the Fermi level comes out at 0.596 states/eV/f.u. Its total magnetic moment is 0.00 Bohr magnetons per cell. The symmetry is Pm-3m. The polymorph energy (0 for the lowest one) is 109.7 meV per atom.

a = 3.0510 Å, b = 3.0510 Å, c = 3.0510 Å
α = 90.00°, β = 90.00°, γ = 90.00°
With the nearest neighbours (Å) after each atom.
Positions (direct):
Be (0.0000, 0.0000, 0.0000)  8 Cd 2.64
Cd (0.5000, 0.5000, 0.5000)  8 Be 2.64

(2)
The following is a DFT calculation (meta-GGA SCAN) of a crystal of BeCd5 relaxed with PBEsol.

## Properties
For the energy relative to the elements, the calculation gives 0.2163 eV per atom. The density of states at the Fermi level comes out at 1.740 states/eV/f.u. Its total magnetic moment is 0.00 Bohr magnetons per cell. The symmetry is P-62m.

a = 4.7827 Å, b = 5.1880 Å, c = 5.1880 Å
α = 120.00°, β = 90.00°, γ = 90.00°
With the nearest neighbours (Å) after each atom.
Positions (direct):
Be (0.5000, 0.0000, 0.0000)  12 Cd 2.91-3.00
Cd (0.0000, 0.3195, 0.3195)  10 Cd 2.87-3.06, 2 Be 2.91
Cd (0.0000, 0.6805, 0.0000)  10 Cd 2.87-3.06, 2 Be 2.91
Cd (0.0000, 0.0000, 0.6805)  10 Cd 2.87-3.06, 2 Be 2.91
Cd (0.5000, 0.3333, 0.6667)  9 Cd 2.97-3.00, 3 Be 3.00
Cd (0.5000, 0.6667, 0.3333)  9 Cd 2.97-3.00, 3 Be 3.00

(3)
The following is a DFT calculation (meta-GGA SCAN) of a crystal of Be3Cd2 relaxed with PBEsol.

## Properties
For the energy relative to the elements, the calculation gives 0.4752 eV per atom. The density of states at the Fermi level comes out at 0.543 states/eV/f.u. Its total magnetic moment is 0.00 Bohr magnetons per cell. The symmetry is P-3m1.

a = 4.1093 Å, b = 4.1093 Å, c = 4.9783 Å
α = 90.00°, β = 90.00°, γ = 120.00°
With the nearest neighbours (Å) after each atom.
Positions (direct):
Be (0.0000, 0.0000, 0.0000)  6 Cd 2.52
Be (0.3333, 0.6667, 0.3562)  5 Cd 2.36-2.62
Be (0.6667, 0.3333, 0.6438)  5 Cd 2.36-2.62
Cd (0.3333, 0.6667, 0.8299)  8 Be 2.36-2.62
Cd (0.6667, 0.3333, 0.1701)  8 Be 2.36-2.62

- Which value of total magnetic moment does entry 1 give?
  0.00 Bohr magnetons per cell

What did the first record say?
The following is a DFT calculation (meta-GGA SCAN) of a crystal of BeCd relaxed with PBEsol.

## Properties
For the energy relative to the elements, the calculation gives 0.4269 eV per atom. The density of states at the Fermi level comes out at 0.596 states/eV/f.u. Its total magnetic moment is 0.00 Bohr magnetons per cell. The symmetry is Pm-3m. The polymorph energy (0 for the lowest one) is 109.7 meV per atom.

a = 3.0510 Å, b = 3.0510 Å, c = 3.0510 Å
α = 90.00°, β = 90.00°, γ = 90.00°
With the nearest neighbours (Å) after each atom.
Positions (direct):
Be (0.0000, 0.0000, 0.0000)  8 Cd 2.64
Cd (0.5000, 0.5000, 0.5000)  8 Be 2.64

- The lowest energy relative to the elements belongs to which entry?
  BeCd5